(1)
! PBE Ba2MnFeSe, relaxed; values from VASP
! space group: No. 123
! crystal system: tetragonal
! ρ: 5.07 g/cm3
! formation energy without anion corrections: 0.108 eV per atom
! spin magnetization: 4.19 μB/f.u.
! volume: 30.4 A^3/atom
&SYSTEM
  ibrav = 0, nat = 5, ntyp = 4
/
ATOMIC_SPECIES
Ba 137.33 Ba.upf
Se 78.96 Se.upf
Mn 54.94 Mn.upf
Fe 55.84 Fe.upf
CELL_PARAMETERS angstrom
6.009 0.000 0.000
0.000 4.212 0.000
0.000 0.000 6.009
ATOMIC_POSITIONS crystal
Ba 0.500 0.000 0.000
Ba 0.000 0.000 0.500
Se 0.500 0.500 0.500
Mn 0.000 0.000 0.000
Fe 0.000 0.500 0.000

---

(2)
! PBE BaZrMn2Fe, relaxed; values from VASP
! space group: No. 123
! crystal system: tetragonal
! ρ: 5.34 g/cm3
! energy of formation: 2.00 eV per atom
! spin magnetization: 8.25 μB/f.u.
! volume: 24.5 A^3/atom
&SYSTEM
  ibrav = 0, nat = 5, ntyp = 4
/
ATOMIC_SPECIES
Zr 91.22 Zr.upf
Mn 54.94 Mn.upf
Ba 137.33 Ba.upf
Fe 55.84 Fe.upf
CELL_PARAMETERS angstrom
-4.702 1.095 1.414
-1.697 -3.364 -3.039
0.295 -3.448 3.652
ATOMIC_POSITIONS crystal
Zr 0.500 0.500 0.500
Mn 0.000 0.000 0.500
Mn 0.500 0.000 0.000
Ba 0.000 0.000 0.000
Fe 0.000 0.500 0.000

---

(3)
! PBE Ba2Fe2Mo, relaxed; values from VASP
! space group: No. 127
! crystal system: tetragonal
! ρ: 6.34 g/cm3
! energy of formation: 1.64 eV per atom
! E above lowest polymorph: 766.6 meV per atom
! spin magnetization: 7.17 μB/f.u.
! volume: 25.3 A^3/atom
&SYSTEM
  ibrav = 0, nat = 10, ntyp = 3
/
ATOMIC_SPECIES
Mo 95.94 Mo.upf
Ba 137.33 Ba.upf
Fe 55.84 Fe.upf
CELL_PARAMETERS angstrom
8.909 0.000 0.000
0.000 8.909 0.000
0.000 0.000 3.182
ATOMIC_POSITIONS crystal
Mo 0.500 0.500 0.000
Mo 0.000 0.000 0.000
Ba 0.142 0.358 0.000
Ba 0.642 0.142 0.000
Ba 0.358 0.858 0.000
Ba 0.858 0.642 0.000
Fe 0.334 0.166 0.500
Fe 0.166 0.666 0.500
Fe 0.666 0.834 0.500
Fe 0.834 0.334 0.500

---

(4)
! PBE Ba2Fe2Mo, relaxed; values from VASP
! space group: No. 139
! crystal system: tetragonal
! ρ: 6.20 g/cm3
! energy of formation: 1.85 eV per atom
! E above lowest polymorph: 969.7 meV per atom
! spin magnetization: 3.16 μB/f.u.
! volume: 25.8 A^3/atom
&SYSTEM
  ibrav = 0, nat = 5, ntyp = 3
/
ATOMIC_SPECIES
Fe 55.84 Fe.upf
Ba 137.33 Ba.upf
Mo 95.94 Mo.upf
CELL_PARAMETERS angstrom
4.527 0.000 0.000
0.000 4.527 0.000
2.264 2.264 6.298
ATOMIC_POSITIONS crystal
Fe 0.423 0.423 0.154
Fe 0.577 0.577 0.846
Ba 0.250 0.750 0.500
Ba 0.750 0.250 0.500
Mo 0.000 0.000 0.000

---

(5)
! PBE BaFeMo2, relaxed; values from VASP
! space group: No. 139
! crystal system: tetragonal
! ρ: 8.16 g/cm3
! energy of formation: 1.45 eV per atom
! E above lowest polymorph: 765.4 meV per atom
! spin magnetization: 1.58 μB/f.u.
! volume: 19.6 A^3/atom
&SYSTEM
  ibrav = 0, nat = 4, ntyp = 3
/
ATOMIC_SPECIES
Ba 137.33 Ba.upf
Mo 95.94 Mo.upf
Fe 55.84 Fe.upf
CELL_PARAMETERS angstrom
5.865 -0.039 0.000
3.319 4.836 0.000
-4.592 -2.399 2.750
ATOMIC_POSITIONS crystal
Ba 0.250 0.750 0.500
Mo 0.500 0.500 0.000
Mo 0.000 0.000 0.000
Fe 0.750 0.250 0.500

---

(6)
! PBE BaFeMo2, relaxed; values from VASP
! space group: No. 160
! crystal system: trigonal
! ρ: 6.62 g/cm3
! energy of formation: 0.70 eV per atom
! E above lowest polymorph: 13.5 meV per atom
! spin magnetization: 0.87 μB/f.u.
! volume: 24.2 A^3/atom
&SYSTEM
  ibrav = 0, nat = 4, ntyp = 3
/
ATOMIC_SPECIES
Ba 137.33 Ba.upf
Mo 95.94 Mo.upf
Fe 55.84 Fe.upf
CELL_PARAMETERS angstrom
4.219 -0.166 0.033
2.253 3.571 0.033
2.111 1.111 6.281
ATOMIC_POSITIONS crystal
Ba 0.504 0.504 0.489
Mo 0.699 0.699 0.903
Mo 0.983 0.983 0.052
Fe 0.314 0.314 0.057

---

(7)
! PBE BaFeMo2, relaxed; values from VASP
! space group: No. 65
! crystal system: orthorhombic
! ρ: 8.03 g/cm3
! energy of formation: 0.87 eV per atom
! E above lowest polymorph: 189.8 meV per atom
! spin magnetization: 2.09 μB/f.u.
! volume: 19.9 A^3/atom
&SYSTEM
  ibrav = 0, nat = 4, ntyp = 3
/
ATOMIC_SPECIES
Mo 95.94 Mo.upf
Fe 55.84 Fe.upf
Ba 137.33 Ba.upf
CELL_PARAMETERS angstrom
3.038 0.022 0.000
-0.016 3.038 0.000
0.000 0.000 8.620
ATOMIC_POSITIONS crystal
Mo 0.000 0.000 0.917
Mo 0.000 0.000 0.583
Fe 0.500 0.500 0.750
Ba 0.500 0.500 0.250

---

(8)
! PBE BaFeMo2, relaxed; values from VASP
! space group: No. 216
! crystal system: cubic
! ρ: 8.33 g/cm3
! energy of formation: 1.24 eV per atom
! E above lowest polymorph: 556.5 meV per atom
! spin magnetization: 2.10 μB/f.u.
! volume: 19.2 A^3/atom
&SYSTEM
  ibrav = 0, nat = 4, ntyp = 3
/
ATOMIC_SPECIES
Fe 55.84 Fe.upf
Ba 137.33 Ba.upf
Mo 95.94 Mo.upf
CELL_PARAMETERS angstrom
-0.441 3.972 2.603
-0.919 -2.639 3.865
3.975 -0.769 -2.520
ATOMIC_POSITIONS crystal
Fe 0.750 0.250 0.500
Ba 0.500 0.500 0.000
Mo 0.250 0.750 0.500
Mo 0.000 0.000 0.000